Entry 1:
This record from Alexandria describes a PBEsol-optimized structure of KAg2P. The functional is SCAN.

Structure (POSCAR):
```
KAg2P
1.0
2.8677 0.0000 0.0000
0.0000 3.8949 0.0000
0.0000 0.0000 7.6469
K Ag P
1 2 1
Cartesian
0.0000 0.0000 0.0000 K
1.4339 1.9475 2.4461 Ag
1.4339 1.9475 5.2008 Ag
0.0000 0.0000 3.8235 P
```

Calculated values
**Formation enthalpy at 0 K**: 7.3 kcal/mol of atoms
**ρ**: 5.56 g cm⁻³
**Crystal system**: orthorhombic
**Space group**: Pmmm, No. 47


Entry 2:
This record from Alexandria describes a PBEsol-optimized structure of YCu2ReGe. The functional is SCAN.

Structure (POSCAR):
```
YCu2ReGe
1.0
4.6143 0.0000 0.0000
0.0000 4.6143 0.0000
0.0000 0.0000 5.0377
Y Cu Re Ge
1 2 1 1
Cartesian
0.0000 0.0000 0.0000 Y
0.0000 2.3071 0.0000 Cu
2.3071 0.0000 0.0000 Cu
2.3071 2.3071 2.5188 Re
0.0000 0.0000 2.5188 Ge
```

Calculated values
**Formation enthalpy at 0 K**: 48.7 kcal/mol of atoms
**ρ**: 7.35 g cm⁻³
**Crystal system**: tetragonal
**Space group**: P4/mmm, No. 123